A plane-wave DFT calculation with PBE+U was carried out for a geometry-optimized DyPuFe2O6 structure.

Structure (CIF):
```
data_DyPuFe2O6
_space_group_name_H-M_alt 'P 1 21/c 1'
_space_group_IT_number 14
_space_group_name_Hall '-P 2ybc'
_cell_length_a 5.592
_cell_length_b 5.616
_cell_length_c 9.930
_cell_angle_alpha 90.00
_cell_angle_beta 123.42
_cell_angle_gamma 90.00
loop_
_atom_site_label
_atom_site_type_symbol
_atom_site_fract_x
_atom_site_fract_y
_atom_site_fract_z
Dy1 Dy 0.000 0.000 0.000
Pu1 Pu 0.500 0.000 0.500
Fe1 Fe 0.227 0.030 0.746
O1 O 0.121 0.115 0.253
O2 O 0.245 0.656 0.074
O3 O 0.431 0.177 0.078
```

Output
Fermi-level density of states ... 0.76 states/eV per atom
Density ... 7.836 Mg/m³
M_tot ... 5.000 μB per formula unit
DFT total energy ... -167.147 eV per cell